No. 1
First-principles (GGA-PBE) data for a relaxed structure of KBe2Hg2, as listed in Alexandria via LeMat-Bulk.

Energy relative to the lowest polymorph listed for this composition: 98.1 meV per atom
Formation energy from the elements: 44.36 kJ per mole of atoms
Total energy: -1.371 eV/atom
Total moment: 0.000 μB per atom

Cell lengths 7.8878, 7.8878, 3.1447 Å; angles 90.00, 90.00, 90.00 degrees
Element x y z (fractional)
K  0.0000  0.0000  0.0000
K  0.5000  0.5000  0.0000
Be  0.1028  0.3972  0.0000
Be  0.3972  0.8972  0.0000
Be  0.6028  0.1028  0.0000
Be  0.8972  0.6028  0.0000
Hg  0.1813  0.6813  0.5000
Hg  0.3187  0.1813  0.5000
Hg  0.6813  0.8187  0.5000
Hg  0.8187  0.3187  0.5000



No. 2
First-principles (GGA-PBE) data for a relaxed structure of Cs2SeICl6, as listed in Alexandria via LeMat-Bulk.

Raw formation energy: -955 meV/atom
Total energy: -2.738 eV/atom
Total moment: 0.000 μB per atom

Cell lengths 7.9198, 7.9198, 7.9198 Å; angles 116.34, 116.34, 96.46 degrees
Element x y z (fractional)
Cs  0.2500  0.7500  0.5000
Cs  0.7500  0.2500  0.5000
Se  0.0000  0.0000  0.0000
I  0.5000  0.5000  0.0000
Cl  0.2060  0.2060  0.4120
Cl  0.2060  0.7940  0.0000
Cl  0.2476  0.2476  0.0000
Cl  0.7524  0.7524  0.0000
Cl  0.7940  0.2060  0.0000
Cl  0.7940  0.7940  0.5880



No. 3
First-principles (GGA-PBE) data for a relaxed structure of RbTl2AgAu, as listed in Alexandria via LeMat-Bulk.

Energy relative to the lowest polymorph listed for this composition: 0.0 meV per atom
Formation energy from the elements: 4.78 kJ per mole of atoms
Total energy: -2.316 eV/atom
Total moment: 0.000 μB per atom

Cell lengths 5.5993, 5.5993, 5.5064 Å; angles 90.00, 90.00, 90.00 degrees
Element x y z (fractional)
Rb  0.0000  0.0000  0.0000
Tl  0.0000  0.5000  0.5000
Tl  0.5000  0.0000  0.5000
Ag  0.5000  0.5000  0.0000
Au  0.5000  0.5000  0.5000



No. 4
First-principles (GGA-PBE) data for a relaxed structure of Er6MgIn2, as listed in Alexandria via LeMat-Bulk.

Formation energy from the elements: -1.39 kJ per mole of atoms
Total energy: -3.842 eV/atom
Total moment: 0.000 μB per atom

Cell lengths 7.4632, 7.4632, 5.6043 Å; angles 111.94, 111.94, 75.23 degrees
Element x y z (fractional)
Er  0.1410  0.5215  0.3312
Er  0.2066  0.7934  0.0000
Er  0.4785  0.8590  0.6688
Er  0.5215  0.1410  0.3312
Er  0.7934  0.2066  0.0000
Er  0.8590  0.4785  0.6688
Mg  0.0000  0.0000  0.5000
In  0.3195  0.3195  0.8198
In  0.6805  0.6805  0.1802



No. 5
First-principles (GGA-PBE) data for a relaxed structure of Ho4GePd3, as listed in Alexandria via LeMat-Bulk.

Formation energy from the elements: -87.25 kJ per mole of atoms
Total energy: -5.718 eV/atom
Total moment: 0.000 μB per atom

Cell lengths 3.8319, 4.3786, 10.6847 Å; angles 90.00, 90.00, 90.00 degrees
Element x y z (fractional)
Ho  0.0000  0.0000  0.0000
Ho  0.0000  0.5000  0.2768
Ho  0.5000  0.0000  0.4971
Ho  0.5000  0.5000  0.7766
Ge  0.0000  0.0000  0.7214
Pd  0.0000  0.5000  0.5560
Pd  0.5000  0.0000  0.2240
Pd  0.5000  0.5000  0.0521



No. 6
First-principles (GGA-PBE) data for a relaxed structure of MgTa2Be, as listed in Alexandria via LeMat-Bulk.

Energy relative to the lowest polymorph listed for this composition: 266.6 meV per atom
Formation energy from the elements: 38.34 kJ per mole of atoms
Total energy: -6.859 eV/atom
Total moment: 0.000 μB per atom

Cell lengths 9.6829, 9.6829, 9.6829 Å; angles 17.01, 17.01, 17.01 degrees
Element x y z (fractional)
Mg  0.0000  0.0000  0.0000
Ta  0.2416  0.2416  0.2416
Ta  0.7584  0.7584  0.7584
Be  0.5000  0.5000  0.5000



Q: What is the formula in the third record?
A: RbTl2AgAu



Q: What is the formula in the second record?
A: Cs2SeICl6



Q: total energy of number 1 (KBe2Hg2)?
A: -1.371 eV/atom



Q: Among the records above, which one has the lowest total energy?
A: MgTa2Be